First-principles (PBE with a Hubbard U) data for RbMnRhF6 after structural relaxation, as listed in Alexandria.

Properties
**Total DFT energy (no corrections)**: -47.3 eV/f.u.
**Magnetic moment**: 4.83 μB/cell

Cell lengths 5.5760, 5.5761, 6.0851 Å; angles 90.02, 89.98, 59.97 degrees
Element x y z (fractional)
F (0.6235, 0.0181, 0.3176)
F (0.3581, 0.0186, 0.6825)
F (0.6231, 0.3585, 0.6826)
F (0.0181, 0.6236, 0.6824)
F (0.0186, 0.3582, 0.3175)
F (0.3585, 0.6231, 0.3174)
Rb (0.9999, 0.0000, 0.0000)
Rh (0.3333, 0.3334, 0.5000)
Mn (0.6666, 0.6666, 0.5000)